# 1
Below is an optimized crystal structure of La2Cd3Pd2, with properties calculated at the GGA-PBE level.

```
7
Lattice="5.127 -2.265 0.000 5.127 2.265 0.000 -2.672 0.000 7.223" Properties=species:S:1:pos:R:3 pbc="T T T"
La 0.675 0.000 2.010
La 6.907 0.000 5.213
Cd 3.635 0.000 0.431
Cd 3.791 0.000 3.611
Cd 3.947 0.000 6.791
Pd -0.328 0.000 5.065
Pd 7.911 0.000 2.157
```

The spin magnetization is 0.0 μB per formula unit. The uncorrected energy comes out at -3.888 eV/atom. The value obtained for the formation energy from the elements is -604.4 meV per atom.

***

# 2
Below is an optimized crystal structure of La2Cd5Pd4, with properties calculated at the GGA-PBE level.

```
11
Lattice="0.000 4.784 9.218 2.844 0.000 9.218 2.844 4.784 0.000" Properties=species:S:1:pos:R:3 pbc="T T T"
La 2.844 4.784 2.457
La 2.844 4.784 15.978
Cd 1.422 2.392 0.000
Cd 1.422 2.392 4.609
Cd 1.422 2.392 9.218
Cd 2.844 4.784 9.218
Cd 4.266 7.175 13.826
Pd 2.844 3.247 6.855
Pd 2.844 3.247 11.580
Pd 2.844 6.320 6.855
Pd 2.844 6.320 11.580
```

The spin magnetization is 0.0 μB per formula unit. The uncorrected energy comes out at -3.676 eV/atom. The value obtained for the formation energy from the elements is -476.2 meV per atom.

***

# 3
Below is an optimized crystal structure of La2CdPd3, with properties calculated at the GGA-PBE level.

```
24
Lattice="7.566 0.000 0.000 0.000 4.030 0.000 0.000 0.000 18.029" Properties=species:S:1:pos:R:3 pbc="T T T"
La 0.845 1.007 3.795
La 1.150 1.007 7.708
La 2.633 3.022 16.722
La 2.938 3.022 12.809
La 4.628 1.007 5.219
La 4.933 1.007 1.307
La 6.416 3.022 10.321
La 6.721 3.022 14.234
Cd 0.128 3.022 1.120
Cd 3.655 1.007 10.135
Cd 3.911 3.022 7.894
Cd 7.438 1.007 16.908
Pd 0.670 1.007 11.827
Pd 1.533 1.007 14.619
Pd 1.743 3.022 9.970
Pd 2.040 1.007 0.956
Pd 2.250 3.022 5.605
Pd 3.113 3.022 2.813
Pd 4.453 1.007 15.216
Pd 5.316 1.007 12.424
Pd 5.526 3.022 17.073
Pd 5.823 1.007 8.058
Pd 6.033 3.022 3.410
Pd 6.896 3.022 6.202
```

The spin magnetization is 0.0 μB per formula unit. The uncorrected energy comes out at -5.147 eV/atom. The value obtained for the formation energy from the elements is -755.7 meV per atom.

***

# 4
Below is an optimized crystal structure of La4CdPd2, with properties calculated at the GGA-PBE level.

```
7
Lattice="2.547 1.471 9.500 -2.547 1.471 9.500 0.000 -2.941 9.500" Properties=species:S:1:pos:R:3 pbc="T T T"
La 0.000 0.000 3.323
La 0.000 0.000 8.352
La 0.000 0.000 20.149
La 0.000 0.000 25.178
Cd 0.000 0.000 14.250
Pd 0.000 0.000 11.392
Pd 0.000 0.000 17.109
```

The spin magnetization is 0.0 μB per formula unit. The uncorrected energy comes out at -4.850 eV/atom. The value obtained for the formation energy from the elements is -420.2 meV per atom.

***

> Which formula does entry 2 have?

La2Cd5Pd4